No. 1
Density functional theory data (GGA-PBE) for an optimized crystal structure of Tb4InS2.

V: 25.50 Å³ per atom
Fermi-level density of states: 10.7 states/eV/cell
Space-group type: Cmcm
Uncorrected formation energy: -9.2 eV per formula unit
Total energy: -5.534 eV per atom

Cell lengths 3.9670, 6.8978, 13.6215 Å; angles 90.00, 90.00, 106.71 degrees
With the nearest neighbours (Å) after each atom.
Atoms (fractional coordinates):
Tb1 0.2342 0.4684 0.8850  3 S 2.71-2.75
Tb2 0.0735 0.1470 0.2500  2 S 2.73
Tb3 0.7658 0.5316 0.1150  3 S 2.71-2.75
Tb4 0.7658 0.5316 0.3850  3 S 2.71-2.75
Tb5 0.5000 0.0000 0.5000  4 S 2.77
Tb6 0.5000 0.0000 0.0000  4 S 2.77
Tb7 0.9265 0.8530 0.7500  2 S 2.73
Tb8 0.2342 0.4684 0.6150  3 S 2.71-2.75
S1 0.8662 0.7324 0.5586  6 Tb 2.71-2.77
S2 0.8662 0.7324 0.9414  6 Tb 2.71-2.77
S3 0.1338 0.2676 0.4414  6 Tb 2.71-2.77
S4 0.1338 0.2676 0.0586  6 Tb 2.71-2.77
In1 0.6079 0.2158 0.7500  6 Tb 3.11-3.18
In2 0.3921 0.7842 0.2500  6 Tb 3.11-3.18

No. 2
Density functional theory data (GGA-PBE) for an optimized crystal structure of InSb3Pb.

V: 35.32 Å³ per atom
Fermi-level density of states: 5.1 states/eV/cell
Space-group type: Pm-3m
Uncorrected formation energy: 3.1 eV per formula unit
Offset from the most stable computed form: 0 meV/atom
Total energy: -3.152 eV per atom

Cell lengths 5.6106, 5.6106, 5.6106 Å; angles 90.00, 90.00, 90.00 degrees
With the nearest neighbours (Å) after each atom.
Atoms (fractional coordinates):
Sb1 0.5000 0.0000 0.0000  2 In 2.81
Sb2 0.0000 0.5000 0.0000  2 In 2.81
Sb3 0.0000 0.0000 0.5000  2 In 2.81
In1 0.0000 0.0000 0.0000  6 Sb 2.81
Pb1 0.5000 0.5000 0.5000  12 Sb 3.97

> Among the records above, which one has the lowest uncorrected formation energy?

Tb4InS2